Record 1
A plane-wave DFT calculation with GGA-PBE was carried out for a relaxed structure of MoPb2Cl8.

abc: 8.170 8.170 7.103
angles: 90.49 90.49 46.21
Sites, in units of the cell vectors:
Mo 0.000 0.000 0.000
Pb 0.139 0.139 0.469
Pb 0.861 0.861 0.531
Cl 0.158 0.158 0.074
Cl 0.229 0.725 0.240
Cl 0.275 0.771 0.760
Cl 0.313 0.313 0.559
Cl 0.687 0.687 0.441
Cl 0.725 0.229 0.240
Cl 0.771 0.275 0.760
Cl 0.842 0.842 0.926

- symmetry = C2/m, No. 12

=====

Record 2
A plane-wave DFT calculation with GGA-PBE was carried out for a relaxed structure of SrAlReH2.

abc: 3.892 3.892 6.829
angles: 90.00 90.00 90.00
Sites, in units of the cell vectors:
Sr 0.000 0.000 0.000
Al 0.000 0.000 0.500
Re 0.500 0.500 0.500
H 0.000 0.500 0.000
H 0.500 0.000 0.000

- symmetry = P4/mmm, No. 123

=====

Record 3
A plane-wave DFT calculation with GGA-PBE was carried out for a relaxed structure of K2MnAlCr.

abc: 6.262 6.262 5.055
angles: 90.00 90.00 90.00
Sites, in units of the cell vectors:
K 0.000 0.500 0.000
K 0.500 0.000 0.000
Mn 0.000 0.000 0.500
Al 0.500 0.500 0.500
Cr 0.500 0.500 0.000

- symmetry = P4/mmm, No. 123

=====

Record 4
A plane-wave DFT calculation with GGA-PBE was carried out for a relaxed structure of Hg5Sb2I2.

abc: 7.578 7.578 7.284
angles: 96.30 96.30 46.70
Sites, in units of the cell vectors:
Hg 0.000 0.000 0.000
Hg 0.207 0.207 0.754
Hg 0.409 0.409 0.595
Hg 0.591 0.591 0.405
Hg 0.793 0.793 0.246
Sb 0.086 0.086 0.406
Sb 0.914 0.914 0.594
I 0.354 0.354 0.088
I 0.646 0.646 0.912

- symmetry = C2/m, No. 12
- energy above the most stable polymorph in this dataset (meV per atom) = 15

=====

Record 5
A plane-wave DFT calculation with GGA-PBE was carried out for a relaxed structure of Nd2YNpAs4.

abc: 7.253 4.187 7.263
angles: 90.00 109.30 90.00
Sites, in units of the cell vectors:
Nd 0.000 0.000 0.000
Nd 0.500 0.500 0.000
Y 0.000 0.500 0.500
Np 0.500 0.000 0.500
As 0.249 0.000 0.739
As 0.256 0.500 0.262
As 0.744 0.500 0.738
As 0.751 0.000 0.261

- symmetry = P2/m, No. 10

=====

Record 6
A plane-wave DFT calculation with GGA-PBE was carried out for a relaxed structure of KTe2Pb.

abc: 8.601 8.601 8.601
angles: 125.02 125.02 81.50
Sites, in units of the cell vectors:
K 0.000 0.000 0.000
K 0.750 0.250 0.500
Te 0.180 0.625 0.055
Te 0.375 0.430 0.555
Te 0.570 0.125 0.945
Te 0.875 0.820 0.445
Pb 0.250 0.750 0.500
Pb 0.500 0.500 0.000

- symmetry = I-42d, No. 122

=====

no.,DFT total energy (eV/cell)
1,-43.6
2,-19.0
3,-18.9
4,-13.5
5,-58.0
6,-25.8